Record 1
VASP calculation (PBE) on a relaxed structure of LaPr2NdGe2.

Output
energy relative to the elements = -0.584 eV per atom
theoretical density = 6.76 g cm⁻³
calculated total energy = -5.33 eV per atom

Cell lengths 4.5171, 9.5486, 8.0897 Å; angles 90.00, 90.00, 90.00 degrees
With the nearest neighbours (Å) after each atom.
Space group Pmc2_1 (No. 26)
Inequivalent atoms, fractional coordinates:
La (0.0000, 0.0818, 0.0000)  5 Ge 3.20-3.55, 2 Nd 3.54
Pr (0.0000, 0.3359, 0.3957)  4 Ge 3.01-3.16
Pr (0.5000, 0.4168, 0.0616)  5 Ge 3.21-3.57, 2 Pr 3.53
Nd (0.5000, 0.1662, 0.6672)  4 Ge 3.02-3.16
Ge (0.0000, 0.3628, 0.7845)  4 Pr 3.01-3.22, 2 Nd 3.09, 1 La 3.20
Ge (0.5000, 0.1353, 0.2789)  2 Nd 3.02-3.16, 3 Pr 3.11-3.21, 2 La 3.23


Record 2
VASP calculation (PBE) on a relaxed structure of LaSmHo5Th2.

Output
energy relative to the elements = 0.319 eV per atom
theoretical density = 8.66 g cm⁻³
calculated total energy = -4.95 eV per atom

Cell lengths 8.9198, 8.9198, 15.2100 Å; angles 90.00, 90.00, 90.00 degrees
With the nearest neighbours (Å) after each atom.
Space group I4/mcm (No. 140)
Inequivalent atoms, fractional coordinates:
La (0.0000, 0.0000, 0.2500)  10 Ho 3.64-3.80
Sm (0.0000, 0.5000, 0.2500)  4 Ho 3.13
Ho (0.0000, 0.0000, 0.0000)  4 Th 3.56, 2 La 3.80, 8 Ho 3.81
Ho (0.2059, 0.2941, 0.1356)  1 Th 3.03, 1 Sm 3.13
Th (0.1185, 0.3815, 0.5000)  1 Th 2.99, 2 Ho 3.03